No. 1
Here is a relaxed GaFeNi2 crystal from OQMD. Energies are from PBE.

Properties
Magnetization ... 3.04 μB per formula unit
Uncorrected energy ... -0.2138 Ha/atom

abc: 3.597 3.597 3.621
angles: 90.00 90.00 90.00
Fractional positions:
Fe  0.000  0.000  0.000
Ga  0.500  0.500  0.000
Ni  0.500  0.000  0.500
Ni  0.000  0.500  0.500

***

No. 2
Here is a relaxed GaFeNi2 crystal from OQMD. Energies are from PBE.

Properties
Magnetization ... 3.32 μB per formula unit
Uncorrected energy ... -0.2146 Ha/atom

abc: 4.197 5.415 10.898
angles: 104.39 80.03 90.00
Fractional positions:
Fe  0.000  0.000  0.000
Fe  0.326  0.600  0.200
Fe  0.756  0.200  0.400
Fe  0.244  0.800  0.600
Fe  0.674  0.400  0.800
Ga  0.000  0.500  0.000
Ga  0.320  0.100  0.200
Ga  0.752  0.700  0.399
Ga  0.248  0.300  0.601
Ga  0.680  0.900  0.800
Ni  0.500  0.250  0.000
Ni  0.500  0.750  0.000
Ni  0.817  0.349  0.199
Ni  0.817  0.850  0.199
Ni  0.250  0.451  0.400
Ni  0.250  0.950  0.400
Ni  0.750  0.050  0.600
Ni  0.750  0.549  0.600
Ni  0.183  0.150  0.801
Ni  0.183  0.651  0.801

***

No. 3
Here is a relaxed Ga2FeNi crystal from OQMD. Energies are from PBE.

Properties
Magnetization ... 2.55 μB per formula unit
Uncorrected energy ... -0.1824 Ha/atom

abc: 4.204 4.204 4.204
angles: 60.00 60.00 60.00
Fractional positions:
Fe  0.500  0.500  0.500
Ga  0.000  0.000  0.000
Ga  0.750  0.750  0.750
Ni  0.250  0.250  0.250

***

No. 4
Here is a relaxed GaFeNi2 crystal from OQMD. Energies are from PBE.

Properties
Magnetization ... 2.72 μB per formula unit
Uncorrected energy ... -0.2126 Ha/atom

abc: 4.010 4.010 4.010
angles: 60.00 60.00 60.00
Fractional positions:
Fe  0.000  0.000  0.000
Ga  0.250  0.250  0.250
Ni  0.500  0.500  0.500
Ni  0.750  0.750  0.750

***

No. 5
Here is a relaxed GaFeNiOs crystal from OQMD. Energies are from PBE.

Properties
Magnetization ... 2.93 μB per formula unit
Uncorrected energy ... -0.2541 Ha/atom

abc: 4.169 4.169 4.169
angles: 60.00 60.00 60.00
Fractional positions:
Fe  0.750  0.750  0.750
Ga  0.000  0.000  0.000
Ni  0.500  0.500  0.500
Os  0.250  0.250  0.250

***

No. 6
Here is a relaxed GaFeNiOs crystal from OQMD. Energies are from PBE.

Properties
Magnetization ... 2.98 μB per formula unit
Uncorrected energy ... -0.2547 Ha/atom

abc: 4.167 4.167 4.167
angles: 60.00 60.00 60.00
Fractional positions:
Fe  0.750  0.750  0.750
Ga  0.000  0.000  0.000
Ni  0.250  0.250  0.250
Os  0.500  0.500  0.500